Record 1
Compound: GaPPt5
Source: the Alexandria database
Functional: PBEsol
Structure: optimized geometry

a b c (Å): 3.8963 3.8963 6.8406
angles (deg): 90.00 90.00 90.00
Closest atoms and distances in Å follow each position.
Sites, in units of the cell vectors:
P 0.0000 0.0000 0.5000  8 Pt 2.42
Ga 0.5000 0.5000 0.0000  12 Pt 2.76-2.78
Pt 0.0000 0.5000 0.2901  2 P 2.42
Pt 0.0000 0.5000 0.7099  2 P 2.42
Pt 0.5000 0.0000 0.2901  2 P 2.42
Pt 0.5000 0.0000 0.7099  2 P 2.42
Pt 0.0000 0.0000 0.0000  4 Ga 2.76, 8 Pt 2.78

Summary:
size of the total moment = 0.0 μB/f.u.
symmetry = P4/mmm
crystal system = tetragonal
final energy = -0.24844 Ha/atom

=====

Record 2
Compound: Cd2Au3
Source: the Alexandria database
Functional: PBEsol
Structure: optimized geometry

a b c (Å): 3.0370 3.0370 9.9234
angles (deg): 98.80 98.80 90.00
Closest atoms and distances in Å follow each position.
Sites, in units of the cell vectors:
Au 0.2995 0.2995 0.5989  8 Au 2.88-3.04, 4 Cd 2.88
Au 0.7005 0.7005 0.4011  8 Au 2.88-3.04, 4 Cd 2.88
Au 0.5000 0.5000 0.0000  8 Cd 2.91, 4 Au 3.04
Cd 0.1016 0.1016 0.2032  8 Au 2.88-2.91, 4 Cd 3.04
Cd 0.8984 0.8984 0.7968  8 Au 2.88-2.91, 4 Cd 3.04

Summary:
size of the total moment = 0.0 μB/f.u.
symmetry = I4/mmm
crystal system = tetragonal
final energy = -0.10915 Ha/atom

=====

Record 3
Compound: FeNiW2
Source: the Alexandria database
Functional: PBEsol
Structure: optimized geometry

a b c (Å): 4.2141 4.2141 4.2141
angles (deg): 60.00 60.00 60.00
Closest atoms and distances in Å follow each position.
Sites, in units of the cell vectors:
Fe 0.5000 0.5000 0.5000  4 W 2.58, 4 Ni 2.58
Ni 0.2500 0.2500 0.2500  4 Fe 2.58, 4 W 2.58
W 0.0000 0.0000 0.0000  4 Ni 2.58, 4 W 2.58
W 0.7500 0.7500 0.7500  4 W 2.58, 4 Fe 2.58

Summary:
size of the total moment = 1.2 μB/f.u.
symmetry = F-43m
crystal system = cubic
ΔE to the lowest computed polymorph = 0.236 eV/atom

=====

Record 4
Compound: NbAl2ZnGe
Source: the Alexandria database
Functional: PBEsol
Structure: optimized geometry

a b c (Å): 4.3943 4.3943 4.9436
angles (deg): 90.00 90.00 90.00
Closest atoms and distances in Å follow each position.
Sites, in units of the cell vectors:
Zn 0.0000 0.0000 0.0000  4 Al 2.20
Nb 0.0000 0.0000 0.5000  2 Zn 2.47
Ge 0.5000 0.5000 0.5000  4 Nb 3.11, 8 Al 3.31
Al 0.0000 0.5000 0.0000  2 Zn 2.20
Al 0.5000 0.0000 0.0000  2 Zn 2.20

Summary:
size of the total moment = 0.0 μB/f.u.
symmetry = P4/mmm
crystal system = tetragonal
final energy = -0.16025 Ha/atom

=====

Record 5
Compound: AgOs2F
Source: the Alexandria database
Functional: PBEsol
Structure: optimized geometry

a b c (Å): 4.2597 4.2597 4.2597
angles (deg): 60.00 60.00 60.00
Closest atoms and distances in Å follow each position.
Sites, in units of the cell vectors:
Os 0.2500 0.2500 0.2500  4 F 2.61, 4 Ag 2.61
Os 0.7500 0.7500 0.7500  4 F 2.61, 4 Ag 2.61
Ag 0.5000 0.5000 0.5000  8 Os 2.61
F 0.0000 0.0000 0.0000  8 Os 2.61

Summary:
size of the total moment = 0.0 μB/f.u.
symmetry = Fm-3m
formation energy (no corrections) = 1.280 eV/atom
crystal system = cubic

=====

Record 6
Compound: ScFe3H
Source: the Alexandria database
Functional: PBEsol
Structure: optimized geometry

a b c (Å): 4.3742 4.3742 4.3742
angles (deg): 90.00 90.00 90.00
Closest atoms and distances in Å follow each position.
Sites, in units of the cell vectors:
Sc 0.0000 0.0000 0.0000  6 Fe 2.19
H 0.5000 0.5000 0.5000  12 Fe 3.09
Fe 0.0000 0.5000 0.0000  2 Sc 2.19
Fe 0.0000 0.0000 0.5000  2 Sc 2.19
Fe 0.5000 0.0000 0.0000  2 Sc 2.19

Summary:
size of the total moment = 6.1 μB/f.u.
symmetry = Pm-3m
crystal system = cubic
final energy = -0.19046 Ha/atom

=====

- What is the formula in the sixth record?
  ScFe3H